1.
Density functional theory data (PBE) for a relaxed structure of LaSm2Ir.

Calculated values
Energy above the most stable polymorph in this dataset = 37 meV/atom

abc: 3.945 9.722 6.480
angles: 90.00 107.71 90.00
Positions (direct):
La  0.080  0.250  0.160
La  0.920  0.750  0.840
Sm  0.357  0.068  0.712
Sm  0.357  0.432  0.712
Sm  0.643  0.568  0.288
Sm  0.643  0.932  0.288
Ir  0.246  0.750  0.491
Ir  0.754  0.250  0.509



2.
Density functional theory data (PBE) for a relaxed structure of LaSmIr.

Calculated values
Energy above the most stable polymorph in this dataset = 40 meV/atom

abc: 4.220 4.220 6.475
angles: 90.00 90.00 120.00
Positions (direct):
La  0.000  0.000  0.000
Sm  0.667  0.333  0.547
Ir  0.333  0.667  0.771



3.
Density functional theory data (PBE) for a relaxed structure of LaSmIr2.

Calculated values
Energy above the most stable polymorph in this dataset = 78 meV/atom

abc: 4.935 4.935 3.667
angles: 90.00 90.00 90.00
Positions (direct):
La  0.000  0.000  0.000
Sm  0.500  0.500  0.000
Ir  0.000  0.500  0.500
Ir  0.500  0.000  0.500



4.
Density functional theory data (PBE) for a relaxed structure of LaSmIr.

Calculated values
Energy above the most stable polymorph in this dataset = 0 meV/atom

abc: 10.916 4.445 7.453
angles: 90.00 90.00 90.00
Positions (direct):
La  0.128  0.250  0.124
La  0.372  0.750  0.624
La  0.628  0.250  0.376
La  0.872  0.750  0.876
Sm  0.114  0.250  0.609
Sm  0.386  0.750  0.109
Sm  0.614  0.250  0.891
Sm  0.886  0.750  0.391
Ir  0.157  0.750  0.364
Ir  0.343  0.250  0.864
Ir  0.657  0.750  0.136
Ir  0.843  0.250  0.636



5.
Density functional theory data (PBE) for a relaxed structure of LaSmIr.

Calculated values
Energy above the most stable polymorph in this dataset = 140 meV/atom

abc: 7.182 7.182 7.182
angles: 151.07 151.07 41.37
Positions (direct):
La  0.000  0.000  0.000
Sm  0.754  0.754  0.000
Ir  0.373  0.373  0.000



6.
Density functional theory data (PBE) for a relaxed structure of LaSm2Ir.

Calculated values
Energy above the most stable polymorph in this dataset = 172 meV/atom

abc: 3.580 3.580 9.135
angles: 90.00 90.00 90.00
Positions (direct):
La  0.000  0.000  0.000
Sm  0.500  0.500  0.321
Sm  0.500  0.500  0.679
Ir  0.000  0.000  0.500



7.
Density functional theory data (PBE) for a relaxed structure of LaSmTlIr.

Calculated values
Total DFT energy (no corrections) = -5.596 eV/atom

abc: 5.279 5.279 5.279
angles: 60.00 60.00 60.00
Positions (direct):
La  0.000  0.000  0.000
Sm  0.500  0.500  0.500
Tl  0.750  0.750  0.750
Ir  0.250  0.250  0.250



8.
Density functional theory data (PBE) for a relaxed structure of LaSmZnIr.

Calculated values
Total DFT energy (no corrections) = -5.443 eV/atom

abc: 5.112 5.112 5.112
angles: 60.00 60.00 60.00
Positions (direct):
La  0.000  0.000  0.000
Sm  0.500  0.500  0.500
Zn  0.250  0.250  0.250
Ir  0.750  0.750  0.750